[1]
The following is a DFT calculation (GGA-PBE) of Mg2ZrIr after structural relaxation.

```
Mg2ZrIr
1.0
3.960 0.000 0.000
0.000 3.960 0.000
0.000 0.000 4.720
Mg Zr Ir
2 1 1
direct
0.000 0.500 0.000
0.500 0.000 0.000
0.000 0.000 0.500
0.500 0.500 0.500
```

Summary:
DFT formation energy: -0.35 eV/atom
calculated volume: 74.0 Å³ per cell
calculated density: 7.45 g/cm3
crystal system: tetragonal
symmetry: P4/mmm, No. 123
density of states at the Fermi level: 1.5 states/eV/cell

=====

[2]
The following is a DFT calculation (GGA-PBE) of Mg2ZrIr after structural relaxation.

```
Mg2ZrIr
1.0
3.110 0.000 0.000
0.000 3.110 0.000
0.000 0.000 7.744
Mg Zr Ir
2 1 1
direct
0.000 0.000 0.199
0.000 0.000 0.801
0.500 0.500 0.500
0.500 0.500 0.000
```

Summary:
DFT formation energy: -0.11 eV/atom
calculated volume: 74.9 Å³ per cell
calculated density: 7.36 g/cm3
crystal system: tetragonal
symmetry: P4/mmm, No. 123
density of states at the Fermi level: 4.3 states/eV/cell

=====

[3]
The following is a DFT calculation (GGA-PBE) of Mg2ZrIr after structural relaxation.

```
Mg2ZrIr
1.0
1.578 -2.433 0.000
1.578 2.433 0.000
0.000 0.000 9.710
Mg Zr Ir
2 1 1
direct
0.000 0.000 0.218
0.000 0.000 0.782
0.500 0.500 0.500
0.500 0.500 0.000
```

Summary:
DFT formation energy: -0.03 eV/atom
calculated volume: 74.5 Å³ per cell
calculated density: 7.40 g/cm3
crystal system: orthorhombic
symmetry: Cmmm, No. 65
density of states at the Fermi level: 2.1 states/eV/cell

=====

[4]
The following is a DFT calculation (GGA-PBE) of Mg2ZrIr after structural relaxation.

```
Mg2ZrIr
1.0
3.402 0.000 0.000
0.000 3.402 0.000
0.000 0.000 6.851
Mg Zr Ir
2 1 1
direct
0.000 0.000 0.000
0.500 0.500 0.266
0.000 0.000 0.567
0.500 0.500 0.756
```

Summary:
DFT formation energy: -0.36 eV/atom
calculated volume: 79.3 Å³ per cell
calculated density: 6.95 g/cm3
crystal system: tetragonal
symmetry: P4mm, No. 99
density of states at the Fermi level: 2.1 states/eV/cell

=====

[5]
The following is a DFT calculation (GGA-PBE) of Mg2ZrIr2 after structural relaxation.

```
Mg2ZrIr2
1.0
1.574 -9.606 0.000
1.574 9.606 0.000
0.000 0.000 3.133
Mg Zr Ir
2 1 2
direct
0.175 0.825 0.000
0.825 0.175 0.000
0.000 0.000 0.000
0.410 0.590 0.500
0.590 0.410 0.500
```

Summary:
DFT formation energy: -0.52 eV/atom
calculated volume: 94.7 Å³ per cell
calculated density: 9.19 g/cm3
crystal system: orthorhombic
offset from the most stable computed form: 0 kJ/mol of formula units
symmetry: Cmmm, No. 65
density of states at the Fermi level: 2.5 states/eV/cell

=====

[6]
The following is a DFT calculation (GGA-PBE) of Mg2ZrIr after structural relaxation.

```
Mg2ZrIr
1.0
2.729 -4.682 0.000
2.729 4.682 0.000
0.000 0.000 2.919
Mg Zr Ir
2 1 1
direct
0.000 0.500 0.000
0.500 0.000 0.000
0.000 0.000 0.500
0.500 0.500 0.500
```

Summary:
DFT formation energy: -0.07 eV/atom
calculated volume: 74.6 Å³ per cell
calculated density: 7.39 g/cm3
crystal system: orthorhombic
symmetry: Cmmm, No. 65
density of states at the Fermi level: 2.7 states/eV/cell

=====

[7]
The following is a DFT calculation (GGA-PBE) of MgZr4Ir after structural relaxation.

```
MgZr4Ir
1.0
-4.120 4.120 4.705
4.120 -4.120 4.705
4.120 4.120 -4.705
Mg Zr Ir
2 8 2
direct
0.000 0.000 0.000
0.750 0.250 0.500
0.201 0.514 0.686
0.264 0.078 0.814
0.264 0.451 0.186
0.300 0.973 0.327
0.646 0.973 0.673
0.723 0.550 0.827
0.723 0.896 0.173
0.828 0.514 0.314
0.241 0.741 0.500
0.491 0.491 0.000
```

Summary:
DFT formation energy: 0.48 eV/atom
calculated volume: 319.4 Å³ per cell
calculated density: 6.05 g/cm3
crystal system: tetragonal
offset from the most stable computed form: 94 kJ/mol of formula units
symmetry: I4_1md, No. 109
density of states at the Fermi level: 16.7 states/eV/cell

=====

[8]
The following is a DFT calculation (GGA-PBE) of MgZr2Ir2 after structural relaxation.

```
MgZr2Ir2
1.0
-2.185 2.847 3.795
2.185 -2.847 3.795
2.185 2.847 -3.795
Mg Zr Ir
1 2 2
direct
0.000 0.000 0.000
0.300 0.800 0.500
0.700 0.200 0.500
0.267 0.500 0.767
0.733 0.500 0.233
```

Summary:
DFT formation energy: -0.67 eV/atom
calculated volume: 94.5 Å³ per cell
calculated density: 10.39 g/cm3
crystal system: orthorhombic
symmetry: Immm, No. 71
density of states at the Fermi level: 3.9 states/eV/cell

=====

[9]
The following is a DFT calculation (GGA-PBE) of Mg2ZrIr after structural relaxation.

```
Mg2ZrIr
1.0
1.498 0.865 9.700
-1.498 0.865 9.700
0.000 -1.729 9.700
Mg Zr Ir
2 1 1
direct
0.238 0.238 0.238
0.762 0.762 0.762
0.000 0.000 0.000
0.500 0.500 0.500
```

Summary:
DFT formation energy: -0.05 eV/atom
calculated volume: 75.4 Å³ per cell
calculated density: 7.32 g/cm3
crystal system: trigonal
symmetry: R-3m, No. 166
density of states at the Fermi level: 3.6 states/eV/cell

=====

[10]
The following is a DFT calculation (GGA-PBE) of Mg2ZrIr after structural relaxation.

```
Mg2ZrIr
1.0
3.009 0.000 0.000
0.000 4.666 0.000
-1.427 0.000 5.297
Mg Zr Ir
2 1 1
direct
0.169 0.000 0.273
0.831 0.000 0.727
0.500 0.500 0.000
0.000 0.500 0.500
```

Summary:
DFT formation energy: -0.20 eV/atom
calculated volume: 74.4 Å³ per cell
calculated density: 7.41 g/cm3
crystal system: monoclinic
symmetry: P2/m, No. 10
density of states at the Fermi level: 3.5 states/eV/cell

=====

[11]
The following is a DFT calculation (GGA-PBE) of Mg2ZrIr2 after structural relaxation.

```
Mg2ZrIr2
1.0
7.515 0.000 0.000
0.000 7.515 0.000
0.000 0.000 3.075
Mg Zr Ir
4 2 4
direct
0.135 0.365 0.000
0.365 0.865 0.000
0.635 0.135 0.000
0.865 0.635 0.000
0.000 0.000 0.500
0.500 0.500 0.500
0.164 0.664 0.500
0.336 0.164 0.500
0.664 0.836 0.500
0.836 0.336 0.500
```

Summary:
DFT formation energy: -0.39 eV/atom
calculated volume: 173.7 Å³ per cell
calculated density: 10.02 g/cm3
crystal system: tetragonal
offset from the most stable computed form: 62 kJ/mol of formula units
symmetry: P4/mbm, No. 127
density of states at the Fermi level: 3.7 states/eV/cell

=====

[12]
The following is a DFT calculation (GGA-PBE) of Mg2Zr2Ir3 after structural relaxation.

```
Mg2Zr2Ir3
1.0
4.608 0.000 0.000
-2.301 3.999 0.000
-2.273 -1.333 7.161
Mg Zr Ir
2 2 3
direct
0.238 0.368 0.106
0.762 0.632 0.894
0.267 0.885 0.652
0.733 0.115 0.348
0.015 0.756 0.272
0.500 0.500 0.500
0.985 0.244 0.728
```

Summary:
DFT formation energy: -0.64 eV/atom
calculated volume: 131.9 Å³ per cell
calculated density: 10.17 g/cm3
crystal system: triclinic
symmetry: P-1, No. 2
density of states at the Fermi level: 3.4 states/eV/cell

=====

[13]
The following is a DFT calculation (GGA-PBE) of Mg2ZrIr3 after structural relaxation.

```
Mg2ZrIr3
1.0
2.267 -6.787 0.000
2.267 6.787 0.000
0.000 0.000 6.294
Mg Zr Ir
4 2 6
direct
0.000 0.000 0.000
0.000 0.000 0.500
0.332 0.668 0.000
0.668 0.332 0.000
0.338 0.662 0.500
0.662 0.338 0.500
0.167 0.833 0.246
0.167 0.833 0.754
0.500 0.500 0.241
0.500 0.500 0.759
0.833 0.167 0.246
0.833 0.167 0.754
```

Summary:
DFT formation energy: -0.62 eV/atom
calculated volume: 193.6 Å³ per cell
calculated density: 12.29 g/cm3
crystal system: orthorhombic
symmetry: Cmmm, No. 65
density of states at the Fermi level: 2.9 states/eV/cell

=====

[14]
The following is a DFT calculation (GGA-PBE) of Mg2ZrIr after structural relaxation.

```
Mg2ZrIr
1.0
-2.340 2.340 3.303
2.340 -2.340 3.303
2.340 2.340 -3.303
Mg Zr Ir
2 1 1
direct
0.000 0.000 0.000
0.750 0.250 0.500
0.250 0.750 0.500
0.500 0.500 0.000
```

Summary:
DFT formation energy: -0.39 eV/atom
calculated volume: 72.3 Å³ per cell
calculated density: 7.62 g/cm3
crystal system: tetragonal
symmetry: I-4m2, No. 119
density of states at the Fermi level: 5.1 states/eV/cell

=====

[15]
The following is a DFT calculation (GGA-PBE) of MgZr4Ir after structural relaxation.

```
MgZr4Ir
1.0
0.000 3.992 3.992
3.992 0.000 3.992
3.992 3.992 0.000
Mg Zr Ir
1 4 1
direct
0.000 0.000 0.000
0.129 0.624 0.624
0.624 0.129 0.624
0.624 0.624 0.129
0.624 0.624 0.624
0.250 0.250 0.250
```

Summary:
DFT formation energy: 0.31 eV/atom
calculated volume: 127.2 Å³ per cell
calculated density: 7.59 g/cm3
crystal system: cubic
offset from the most stable computed form: 0 kJ/mol of formula units
symmetry: F-43m, No. 216
density of states at the Fermi level: 7.3 states/eV/cell

=====

[16]
The following is a DFT calculation (GGA-PBE) of MgZr6Ir after structural relaxation.

```
MgZr6Ir
1.0
2.911 -5.014 0.000
2.911 5.014 0.000
-0.019 0.000 5.894
Mg Zr Ir
1 6 1
direct
0.000 0.000 0.000
0.007 0.428 0.258
0.418 0.418 0.742
0.428 0.007 0.258
0.572 0.993 0.742
0.582 0.582 0.258
0.993 0.572 0.742
0.000 0.000 0.500
```

Summary:
DFT formation energy: 0.00 eV/atom
calculated volume: 172.0 Å³ per cell
calculated density: 7.37 g/cm3
crystal system: monoclinic
symmetry: C2/m, No. 12
density of states at the Fermi level: 6.0 states/eV/cell

=====

[17]
The following is a DFT calculation (GGA-PBE) of Mg5ZrIr6 after structural relaxation.

```
Mg5ZrIr6
1.0
4.446 0.000 0.000
0.000 6.357 0.000
-2.207 0.000 6.646
Mg Zr Ir
5 1 6
direct
0.000 0.000 0.000
0.331 0.500 0.662
0.333 0.000 0.666
0.667 0.000 0.334
0.669 0.500 0.338
0.000 0.500 0.000
0.167 0.248 0.335
0.167 0.752 0.335
0.500 0.245 0.000
0.500 0.755 0.000
0.833 0.248 0.665
0.833 0.752 0.665
```

Summary:
DFT formation energy: -0.46 eV/atom
calculated volume: 187.8 Å³ per cell
calculated density: 12.08 g/cm3
crystal system: monoclinic
symmetry: P2/m, No. 10
density of states at the Fermi level: 6.5 states/eV/cell

=====

[18]
The following is a DFT calculation (GGA-PBE) of MgZrIr after structural relaxation.

```
MgZrIr
1.0
0.000 3.171 3.171
3.171 0.000 3.171
3.171 3.171 0.000
Mg Zr Ir
1 1 1
direct
0.000 0.000 0.000
0.500 0.500 0.500
0.750 0.750 0.750
```

Summary:
DFT formation energy: -0.41 eV/atom
calculated volume: 63.8 Å³ per cell
calculated density: 8.01 g/cm3
crystal system: cubic
symmetry: F-43m, No. 216
density of states at the Fermi level: 3.4 states/eV/cell

=====

[19]
The following is a DFT calculation (GGA-PBE) of Mg2ZrIr after structural relaxation.

```
Mg2ZrIr
1.0
-1.604 2.345 5.068
1.604 -2.345 5.068
1.604 2.345 -5.068
Mg Zr Ir
2 1 1
direct
0.219 0.219 0.000
0.781 0.781 0.000
0.500 0.000 0.500
0.000 0.500 0.500
```

Summary:
DFT formation energy: -0.29 eV/atom
calculated volume: 76.2 Å³ per cell
calculated density: 7.23 g/cm3
crystal system: orthorhombic
symmetry: Immm, No. 71
density of states at the Fermi level: 2.6 states/eV/cell

=====

[20]
The following is a DFT calculation (GGA-PBE) of MgZrIr after structural relaxation.

```
MgZrIr
1.0
-1.586 1.586 5.656
1.586 -1.586 5.656
1.586 1.586 -5.656
Mg Zr Ir
1 1 1
direct
0.000 0.000 0.000
0.712 0.712 0.000
0.355 0.355 0.000
```

Summary:
DFT formation energy: -0.43 eV/atom
calculated volume: 56.9 Å³ per cell
calculated density: 8.97 g/cm3
crystal system: tetragonal
symmetry: I4mm, No. 107
density of states at the Fermi level: 3.3 states/eV/cell